VASP calculation (PBE) on crystalline TcAgNO at its relaxed geometry.

a = 2.910 Å, b = 6.113 Å, c = 6.064 Å
α = 90.00°, β = 90.00°, γ = 90.00°
Element x y z (fractional)
1 Ag 0.500 0.037 0.201
2 Ag 0.500 0.537 0.799
3 N 0.000 0.799 0.399
4 N 0.000 0.299 0.601
5 O 0.500 0.421 0.153
6 O 0.500 0.921 0.847
7 Tc 0.000 0.497 0.371
8 Tc 0.000 0.997 0.629

- magnetic moment (μB/f.u.) = 0.0
- SG = Pmc2_1 (26)
- DFT total energy (eV per atom) = -6.7407
- E above lowest polymorph (meV per atom) = 0

VASP calculation (PBE) on crystalline Sm2SeS at its relaxed geometry.

a = 4.095 Å, b = 4.093 Å, c = 11.573 Å
α = 90.00°, β = 90.05°, γ = 90.00°
Element x y z (fractional)
1 S 0.255 0.250 0.377
2 S 0.745 0.750 0.623
3 Se 0.759 0.750 0.123
4 Se 0.241 0.250 0.877
5 Sm 0.259 0.250 0.135
6 Sm 0.754 0.750 0.381
7 Sm 0.246 0.250 0.619
8 Sm 0.741 0.750 0.865

- magnetic moment (μB/f.u.) = 0.0
- SG = P2_1/m (11)
- DFT total energy (eV per atom) = -6.1698
- E above lowest polymorph (meV per atom) = 0

VASP calculation (PBE) on crystalline AcAsOsO at its relaxed geometry.

a = 4.329 Å, b = 4.430 Å, c = 7.683 Å
α = 90.00°, β = 90.00°, γ = 90.00°
Site moments in Bohr magnetons follow the coordinates.
Element x y z (fractional)
1 Ac 0.500 0.749 0.104  0.01
2 Ac 0.500 0.251 0.604  0.01
3 As 0.000 0.244 0.273  0.03
4 As 0.000 0.756 0.773  0.03
5 O 0.500 0.763 0.434  0.02
6 O 0.500 0.237 0.934  0.02
7 Os 0.000 0.729 0.443  0.25
8 Os 0.000 0.271 0.943  0.25

- magnetic moment (μB/f.u.) = 0.4
- SG = Pmc2_1 (26)
- DFT total energy (eV per atom) = -7.3286
- E above lowest polymorph (meV per atom) = 596

The highest DFT total energy belongs to which entry? Sm2SeS

Which value of E above lowest polymorph does entry 3 give? 596 meV per atom